Entry 1:
A geometry-optimized Y12Er6Cd structure. Source: the Alexandria database, functional PBE.

```
Y12Er6Cd
1.0
5.917 3.416 4.997
-5.917 3.416 4.997
0.000 -6.832 4.997
Y Er Cd
12 6 1
direct
0.038 0.284 0.935
0.065 0.962 0.716
0.134 0.327 0.484
0.284 0.935 0.038
0.327 0.484 0.134
0.484 0.134 0.327
0.516 0.866 0.673
0.673 0.516 0.866
0.716 0.065 0.962
0.866 0.673 0.516
0.935 0.038 0.284
0.962 0.716 0.065
0.217 0.598 0.761
0.239 0.783 0.402
0.402 0.239 0.783
0.598 0.761 0.217
0.761 0.217 0.598
0.783 0.402 0.239
0.500 0.500 0.500
```

Values from the calculation:
**Energy of formation**: 184 kJ/mol of formula units
**Total magnetization**: 0.00 μB/cell


Entry 2:
A geometry-optimized K2Au structure. Source: the Alexandria database, functional PBE.

```
K2Au
1.0
4.878 0.000 0.000
0.003 6.583 0.000
2.373 1.655 8.417
K Au
4 2
direct
0.098 0.293 0.315
0.332 0.172 0.832
0.668 0.828 0.168
0.902 0.707 0.685
0.266 0.629 0.967
0.734 0.371 0.033
```

Values from the calculation:
**Energy of formation**: -67 kJ/mol of formula units
**Total magnetization**: 0.00 μB/cell


Entry 3:
A geometry-optimized Tb9Pm4Dy11 structure. Source: the Alexandria database, functional PBE.

```
Tb9Pm4Dy11
1.0
8.367 -12.585 0.000
8.367 12.585 0.000
0.000 0.000 3.692
Tb Pm Dy
9 4 11
direct
0.000 0.000 0.000
0.134 0.662 0.000
0.288 0.434 0.000
0.338 0.866 0.000
0.434 0.288 0.000
0.566 0.712 0.000
0.662 0.134 0.000
0.712 0.566 0.000
0.866 0.338 0.000
0.054 0.255 0.000
0.255 0.054 0.000
0.745 0.946 0.000
0.946 0.745 0.000
0.093 0.455 0.500
0.135 0.865 0.500
0.211 0.211 0.500
0.341 0.659 0.500
0.455 0.093 0.500
0.500 0.500 0.500
0.545 0.907 0.500
0.659 0.341 0.500
0.789 0.789 0.500
0.865 0.135 0.500
0.907 0.545 0.500
```

Values from the calculation:
**Energy of formation**: 130 kJ/mol of formula units
**Total magnetization**: 0.00 μB/cell


Entry 4:
A geometry-optimized Te4BrCl structure. Source: the Alexandria database, functional PBE.

```
Te4BrCl
1.0
0.000 4.417 4.417
4.417 0.000 4.417
4.417 4.417 0.000
Te Br Cl
4 1 1
direct
0.123 0.123 0.123
0.123 0.123 0.630
0.123 0.630 0.123
0.630 0.123 0.123
0.750 0.750 0.750
0.500 0.500 0.500
```

Values from the calculation:
**E_form (uncorrected)**: 1.0 eV per formula unit
**Total magnetization**: 0.00 μB/cell


Entry 5:
A geometry-optimized AlFeCu2 structure. Source: the Alexandria database, functional PBE.

```
AlFeCu2
1.0
2.639 0.000 0.000
0.000 3.689 0.000
0.000 0.000 5.165
Al Fe Cu
1 1 2
direct
0.000 0.000 0.000
0.000 0.000 0.500
0.500 0.500 0.254
0.500 0.500 0.746
```

Values from the calculation:
**Energy of formation**: -11 kJ/mol of formula units
**Total magnetization**: 2.55 μB/cell


Entry 6:
A geometry-optimized Tb6Pm3Pr2Tm structure. Source: the Alexandria database, functional PBE.

```
Tb6Pm3Pr2Tm
1.0
3.121 -5.404 0.000
3.121 5.404 0.000
-2.076 0.000 11.741
Tb Pm Pr Tm
6 3 2 1
direct
0.083 0.415 0.750
0.249 0.249 0.250
0.415 0.083 0.750
0.585 0.917 0.250
0.751 0.751 0.750
0.917 0.585 0.250
0.167 0.833 0.000
0.500 0.500 0.000
0.833 0.167 0.000
0.334 0.666 0.500
0.666 0.334 0.500
0.000 0.000 0.500
```

Values from the calculation:
**Energy of formation**: 16 kJ/mol of formula units
**Total magnetization**: 0.00 μB/cell


Entry 7:
A geometry-optimized Tl2HgMo structure. Source: the Alexandria database, functional PBE.

```
Tl2HgMo
1.0
-2.185 2.185 10.536
2.185 -2.185 10.536
2.185 2.185 -10.536
Tl Hg Mo
4 2 2
direct
0.114 0.625 0.989
0.375 0.364 0.489
0.636 0.125 0.011
0.875 0.886 0.511
0.250 0.750 0.500
0.500 0.500 0.000
0.000 0.000 0.000
0.750 0.250 0.500
```

Values from the calculation:
**Energy of formation**: 333 kJ/mol of formula units
**Total magnetization**: 5.23 μB/cell


Entry 8:
A geometry-optimized Pm4Dy2Y5 structure. Source: the Alexandria database, functional PBE.

```
Pm4Dy2Y5
1.0
12.105 -1.769 0.000
12.105 1.769 0.000
-0.751 0.000 8.627
Pm Dy Y
4 2 5
direct
0.096 0.096 0.268
0.361 0.361 0.370
0.639 0.639 0.630
0.904 0.904 0.732
0.046 0.046 0.849
0.954 0.954 0.151
0.188 0.188 0.981
0.272 0.272 0.672
0.500 0.500 0.500
0.728 0.728 0.328
0.812 0.812 0.019
```

Values from the calculation:
**Energy of formation**: 115 kJ/mol of formula units
**Total magnetization**: 0.00 μB/cell


E (computed, eV per cell): -103.95; -12.33; -109.95; -15.12; -20.51; -55.90; -24.83; -59.34